The following is a DFT calculation (PBE) of CsHoTh after structural relaxation.

Lattice parameters (Å, degrees): 7.7691 7.7691 7.7691 90.00 90.00 90.00
Positions (direct):
Cs 0.0000 0.0000 0.0000
Cs 0.0000 0.5000 0.5000
Cs 0.5000 0.0000 0.5000
Cs 0.5000 0.5000 0.0000
Ho 0.2500 0.2500 0.7500
Ho 0.2500 0.7500 0.2500
Ho 0.7500 0.2500 0.2500
Ho 0.7500 0.7500 0.7500
Th 0.2500 0.2500 0.2500
Th 0.2500 0.7500 0.7500
Th 0.7500 0.2500 0.7500
Th 0.7500 0.7500 0.2500

**Density**: 7.5 g/cm³
**Relative energy among the computed polymorphs**: 1.70 kJ per mole of atoms
**Total moment**: 0.00 μB/atom

The following is a DFT calculation (PBE) of CsHoW after structural relaxation.

Lattice parameters (Å, degrees): 7.1130 7.1130 7.1130 90.00 90.00 90.00
Positions (direct):
Cs 0.0000 0.0000 0.0000
Cs 0.0000 0.5000 0.5000
Cs 0.5000 0.0000 0.5000
Cs 0.5000 0.5000 0.0000
Ho 0.2500 0.2500 0.2500
Ho 0.2500 0.7500 0.7500
Ho 0.7500 0.2500 0.7500
Ho 0.7500 0.7500 0.2500
W 0.2500 0.2500 0.7500
W 0.2500 0.7500 0.2500
W 0.7500 0.2500 0.2500
W 0.7500 0.7500 0.7500

**Electronic total energy**: -0.267 Ry/atom
**Density**: 8.9 g/cm³
**Total moment**: 0.72 μB/atom

The following is a DFT calculation (PBE) of CsYHo after structural relaxation.

Lattice parameters (Å, degrees): 8.6185 8.6185 8.6185 90.00 90.00 90.00
Positions (direct):
Cs 0.0000 0.0000 0.0000
Cs 0.0000 0.5000 0.5000
Cs 0.5000 0.0000 0.5000
Cs 0.5000 0.5000 0.0000
Y 0.0000 0.0000 0.5000
Y 0.0000 0.5000 0.0000
Y 0.5000 0.0000 0.0000
Y 0.5000 0.5000 0.5000
Ho 0.2500 0.2500 0.2500
Ho 0.2500 0.7500 0.7500
Ho 0.7500 0.2500 0.7500
Ho 0.7500 0.7500 0.2500

**Electronic total energy**: -0.199 Ry/atom
**Density**: 4.0 g/cm³
**Total moment**: 1.09 μB/atom

The following is a DFT calculation (PBE) of CsHoZr after structural relaxation.

Lattice parameters (Å, degrees): 8.1140 8.1140 8.1140 90.00 90.00 90.00
Positions (direct):
Cs 0.0000 0.0000 0.0000
Cs 0.0000 0.5000 0.5000
Cs 0.5000 0.0000 0.5000
Cs 0.5000 0.5000 0.0000
Ho 0.0000 0.0000 0.5000
Ho 0.0000 0.5000 0.0000
Ho 0.5000 0.0000 0.0000
Ho 0.5000 0.5000 0.5000
Zr 0.2500 0.2500 0.2500
Zr 0.2500 0.7500 0.7500
Zr 0.7500 0.2500 0.7500
Zr 0.7500 0.7500 0.2500

**Density**: 4.8 g/cm³
**Relative energy among the computed polymorphs**: 0.00 kJ per mole of atoms
**Total moment**: 1.49 μB/atom

The following is a DFT calculation (PBE) of CsHoZr after structural relaxation.

Lattice parameters (Å, degrees): 7.4202 7.4202 7.4202 90.00 90.00 90.00
Positions (direct):
Cs 0.0000 0.0000 0.0000
Cs 0.0000 0.5000 0.5000
Cs 0.5000 0.0000 0.5000
Cs 0.5000 0.5000 0.0000
Ho 0.2500 0.2500 0.7500
Ho 0.2500 0.7500 0.2500
Ho 0.7500 0.2500 0.2500
Ho 0.7500 0.7500 0.7500
Zr 0.2500 0.2500 0.2500
Zr 0.2500 0.7500 0.7500
Zr 0.7500 0.2500 0.7500
Zr 0.7500 0.7500 0.2500

**Density**: 6.3 g/cm³
**Relative energy among the computed polymorphs**: 18.34 kJ per mole of atoms
**Total moment**: 0.00 μB/atom

The following is a DFT calculation (PBE) of Cs2SmInI6 after structural relaxation.

Lattice parameters (Å, degrees): 9.0864 9.0864 9.0864 60.00 60.00 60.00
Positions (direct):
Cs 0.2500 0.2500 0.2500
Cs 0.7500 0.7500 0.7500
Sm 0.0000 0.0000 0.0000
In 0.5000 0.5000 0.5000
I 0.2398 0.2398 0.7602
I 0.2398 0.7602 0.2398
I 0.2398 0.7602 0.7602
I 0.7602 0.2398 0.2398
I 0.7602 0.2398 0.7602
I 0.7602 0.7602 0.2398

**Electronic total energy**: -0.230 Ry/atom
**Density**: 4.0 g/cm³
**Total moment**: 0.00 μB/atom